A plane-wave DFT calculation with PBE-GGA was carried out for a relaxed CdW crystal.

Results
Energy above the most stable polymorph in this dataset ... 520.6 kJ/mol of formula units
DFT formation energy ... 3.1594 eV per atom

a b c (Å): 7.4538 7.4538 7.4538
angles (deg): 90.00 90.00 90.00
Closest atoms and distances in Å follow each position.
Fractional positions:
1 Cd 0.0000 0.2500 0.5000  4 W 2.64
2 Cd 0.0000 0.7500 0.5000  4 W 2.64
3 Cd 0.2500 0.5000 0.0000  4 W 2.64
4 Cd 0.5000 0.0000 0.2500  4 W 2.64
5 Cd 0.5000 0.0000 0.7500  4 W 2.64
6 Cd 0.7500 0.5000 0.0000  4 W 2.64
7 W 0.0000 0.5000 0.2500  4 Cd 2.64
8 W 0.0000 0.5000 0.7500  4 Cd 2.64
9 W 0.2500 0.0000 0.5000  4 Cd 2.64
10 W 0.5000 0.2500 0.0000  4 Cd 2.64
11 W 0.5000 0.7500 0.0000  4 Cd 2.64
12 W 0.7500 0.0000 0.5000  4 Cd 2.64